Compound: CoSiP2Cl
Source: the Alexandria database
Functional: PBE
Structure: relaxed

Results
M_tot = 0.000 μB per cell
E above lowest polymorph = 0.0 kJ per mole of atoms
E_form (uncorrected) = 3.0 eV/f.u.
theoretical density = 3.35 g cm⁻³

a b c (Å): 4.263 4.263 5.027
angles (deg): 90.00 90.00 90.00
Fractional coordinates of all 5 atoms:
Co 0.000 0.000 0.000
Si 0.500 0.500 0.500
P 0.000 0.500 0.000
P 0.500 0.000 0.000
Cl 0.000 0.000 0.500